No. 1
Below is an optimized crystal structure of Sn3TeH, with properties calculated at the PBE-GGA level.

Uncorrected energy   -17.17 eV for the cell shown
ΔE to the lowest computed polymorph   0 meV/atom
DOS at the Fermi energy   2.17 states/eV/f.u.

Geometry as POSCAR:
```
Sn3TeH
1.0
4.9075 0.0000 0.0000
0.0000 4.9075 0.0000
0.0000 0.0000 4.9075
Sn Te H
3 1 1
Direct
0.0000 0.0000 0.5000
0.0000 0.5000 0.0000
0.5000 0.0000 0.0000
0.5000 0.5000 0.5000
0.0000 0.0000 0.0000
```

***

No. 2
Below is an optimized crystal structure of SnTeH2, with properties calculated at the PBE-GGA level.

Uncorrected energy   -54.09 eV for the cell shown
ΔE to the lowest computed polymorph   0 meV/atom
DOS at the Fermi energy   1.47 states/eV/f.u.

Geometry as POSCAR:
```
SnTeH2
1.0
5.7462 0.0000 0.0000
0.0000 8.5328 0.0000
0.0000 0.0000 6.1958
Sn Te H
4 4 8
Direct
0.0000 0.0259 0.2500
0.0000 0.9741 0.7500
0.5000 0.4741 0.7500
0.5000 0.5259 0.2500
0.0000 0.3673 0.2500
0.0000 0.6327 0.7500
0.5000 0.1327 0.7500
0.5000 0.8673 0.2500
0.0000 0.2887 0.6880
0.0000 0.2887 0.8120
0.0000 0.7113 0.1880
0.0000 0.7113 0.3120
0.5000 0.2113 0.1880
0.5000 0.2113 0.3120
0.5000 0.7887 0.6880
0.5000 0.7887 0.8120
```

***

No. 3
Below is an optimized crystal structure of SnTeH2, with properties calculated at the PBE-GGA level.

Uncorrected energy   -25.17 eV for the cell shown
ΔE to the lowest computed polymorph   234 meV/atom
DOS at the Fermi energy   0.67 states/eV/f.u.

Geometry as POSCAR:
```
SnTeH2
1.0
3.1894 0.0000 0.0000
0.0000 7.8199 0.0000
-1.5859 0.0000 6.3128
Sn Te H
2 2 4
Direct
0.1693 0.2500 0.3405
0.8307 0.7500 0.6595
0.0577 0.7500 0.1102
0.9423 0.2500 0.8898
0.3134 0.5970 0.6276
0.3134 0.9030 0.6276
0.6866 0.0970 0.3724
0.6866 0.4030 0.3724
```

***

No. 4
Below is an optimized crystal structure of SnTeH2, with properties calculated at the PBE-GGA level.

Uncorrected energy   -45.47 eV for the cell shown
ΔE to the lowest computed polymorph   539 meV/atom
DOS at the Fermi energy   1.14 states/eV/f.u.

Geometry as POSCAR:
```
SnTeH2
1.0
6.2921 0.0000 0.0000
0.0000 6.2921 0.0000
0.0000 0.0000 6.2921
Sn Te H
4 4 8
Direct
0.0000 0.0000 0.0000
0.0000 0.5000 0.5000
0.5000 0.0000 0.5000
0.5000 0.5000 0.0000
0.0000 0.0000 0.5000
0.0000 0.5000 0.0000
0.5000 0.0000 0.0000
0.5000 0.5000 0.5000
0.2500 0.2500 0.2500
0.2500 0.2500 0.7500
0.2500 0.7500 0.2500
0.2500 0.7500 0.7500
0.7500 0.2500 0.2500
0.7500 0.2500 0.7500
0.7500 0.7500 0.2500
0.7500 0.7500 0.7500
```

***

No. 5
Below is an optimized crystal structure of SnTeH3, with properties calculated at the PBE-GGA level.

Uncorrected energy   -13.68 eV for the cell shown
ΔE to the lowest computed polymorph   71 meV/atom
DOS at the Fermi energy   1.10 states/eV/f.u.

Geometry as POSCAR:
```
SnTeH3
1.0
4.1287 0.0000 0.0000
0.0000 4.1287 0.0000
0.0000 0.0000 4.1287
Sn Te H
1 1 3
Direct
0.0000 0.0000 0.0000
0.5000 0.5000 0.5000
0.0000 0.5000 0.5000
0.5000 0.0000 0.5000
0.5000 0.5000 0.0000
```

***

No. 6
Below is an optimized crystal structure of Sn2TeH, with properties calculated at the PBE-GGA level.

Uncorrected energy   -54.22 eV for the cell shown
ΔE to the lowest computed polymorph   0 meV/atom
DOS at the Fermi energy   1.83 states/eV/f.u.

Geometry as POSCAR:
```
Sn2TeH
1.0
6.2607 0.0000 0.0000
0.0000 6.2607 0.0000
0.0000 0.0000 10.6867
Sn Te H
8 4 4
Direct
0.1372 0.2500 0.1250
0.2500 0.6372 0.3750
0.2500 0.8628 0.8750
0.3628 0.2500 0.6250
0.6372 0.7500 0.6250
0.7500 0.1372 0.8750
0.7500 0.3628 0.3750
0.8628 0.7500 0.1250
0.0000 0.0000 0.5000
0.0000 0.5000 0.7500
0.5000 0.0000 0.2500
0.5000 0.5000 0.0000
0.0000 0.0000 0.0000
0.0000 0.5000 0.2500
0.5000 0.0000 0.7500
0.5000 0.5000 0.5000
```

***

No. 7
Below is an optimized crystal structure of SnTeH3, with properties calculated at the PBE-GGA level.

Uncorrected energy   -14.03 eV for the cell shown
ΔE to the lowest computed polymorph   0 meV/atom
DOS at the Fermi energy   2.68 states/eV/f.u.

Geometry as POSCAR:
```
SnTeH3
1.0
4.0985 0.0000 0.0000
0.0000 4.0985 0.0000
0.0000 0.0000 4.0985
Sn Te H
1 1 3
Direct
0.0000 0.0000 0.0000
0.5000 0.5000 0.5000
0.0000 0.0000 0.5000
0.0000 0.5000 0.0000
0.5000 0.0000 0.0000
```

***

No. 8
Below is an optimized crystal structure of SnTe2H4, with properties calculated at the PBE-GGA level.

Uncorrected energy   -43.75 eV for the cell shown
DOS at the Fermi energy   1.05 states/eV/f.u.

Geometry as POSCAR:
```
SnTe2H4
1.0
6.4611 0.0000 0.0000
0.0000 12.0756 0.0000
-1.2771 0.0000 3.8153
Sn Te H
2 4 8
Direct
0.0000 0.0000 0.0000
0.5000 0.5000 0.0000
0.0117 0.2557 0.1365
0.0117 0.7443 0.1365
0.5117 0.2443 0.1365
0.5117 0.7557 0.1365
0.0663 0.0000 0.5276
0.2120 0.5000 0.8410
0.4350 0.1905 0.7279
0.4350 0.8095 0.7279
0.5663 0.5000 0.5276
0.7120 0.0000 0.8410
0.9350 0.3095 0.7279
0.9350 0.6905 0.7279
```

***

No. 9
Below is an optimized crystal structure of SnTeH2, with properties calculated at the PBE-GGA level.

Uncorrected energy   -48.88 eV for the cell shown
ΔE to the lowest computed polymorph   326 meV/atom
DOS at the Fermi energy   2.18 states/eV/f.u.

Geometry as POSCAR:
```
SnTeH2
1.0
6.0207 0.0000 0.0000
0.0000 6.0207 0.0000
0.0000 0.0000 8.5027
Sn Te H
4 4 8
Direct
0.0000 0.0000 0.0000
0.0000 0.5000 0.2500
0.5000 0.0000 0.7500
0.5000 0.5000 0.5000
0.0000 0.0000 0.5000
0.0000 0.5000 0.7500
0.5000 0.0000 0.2500
0.5000 0.5000 0.0000
0.0038 0.2500 0.1250
0.2500 0.5038 0.3750
0.2500 0.9962 0.8750
0.4962 0.2500 0.6250
0.5038 0.7500 0.6250
0.7500 0.0038 0.8750
0.7500 0.4962 0.3750
0.9962 0.7500 0.1250
```

***

No. 10
Below is an optimized crystal structure of Sn2TeH, with properties calculated at the PBE-GGA level.

Uncorrected energy   -51.27 eV for the cell shown
ΔE to the lowest computed polymorph   185 meV/atom
DOS at the Fermi energy   1.67 states/eV/f.u.

Geometry as POSCAR:
```
Sn2TeH
1.0
7.3142 0.0000 0.0000
0.0000 7.3142 0.0000
0.0000 0.0000 7.3142
Sn Te H
8 4 4
Direct
0.2500 0.2500 0.2500
0.2500 0.2500 0.7500
0.2500 0.7500 0.2500
0.2500 0.7500 0.7500
0.7500 0.2500 0.2500
0.7500 0.2500 0.7500
0.7500 0.7500 0.2500
0.7500 0.7500 0.7500
0.0000 0.0000 0.0000
0.0000 0.5000 0.5000
0.5000 0.0000 0.5000
0.5000 0.5000 0.0000
0.0000 0.0000 0.5000
0.0000 0.5000 0.0000
0.5000 0.0000 0.0000
0.5000 0.5000 0.5000
```

***

No. 11
Below is an optimized crystal structure of TlSnTe2H, with properties calculated at the PBE-GGA level.

Uncorrected energy   -15.89 eV for the cell shown
DOS at the Fermi energy   3.65 states/eV/f.u.

Geometry as POSCAR:
```
TlSnTe2H
1.0
6.1366 0.0000 0.0000
0.0000 6.1366 0.0000
0.0000 0.0000 3.7352
Tl Sn Te H
1 1 2 1
Direct
0.0000 0.0000 0.0000
0.5000 0.5000 0.5000
0.0000 0.5000 0.5000
0.5000 0.0000 0.5000
0.5000 0.5000 0.0000
```

***

No. 12
Below is an optimized crystal structure of ThSnH, with properties calculated at the PBE-GGA level.

Uncorrected energy   -31.47 eV for the cell shown
ΔE to the lowest computed polymorph   196 meV/atom
DOS at the Fermi energy   1.18 states/eV/f.u.

Geometry as POSCAR:
```
ThSnH
1.0
3.5516 0.0000 0.0000
-1.7758 3.0758 0.0000
0.0000 0.0000 11.7107
Th Sn H
2 2 2
Direct
0.3333 0.6667 0.3505
0.6667 0.3333 0.6495
0.0000 0.0000 0.1230
0.0000 0.0000 0.8770
0.3333 0.6667 0.5521
0.6667 0.3333 0.4479
```

***

No. 13
Below is an optimized crystal structure of ThSnH, with properties calculated at the PBE-GGA level.

Uncorrected energy   -65.29 eV for the cell shown
ΔE to the lowest computed polymorph   0 meV/atom
DOS at the Fermi energy   1.23 states/eV/f.u.

Geometry as POSCAR:
```
ThSnH
1.0
9.4477 0.0000 0.0000
0.0000 4.1009 0.0000
0.0000 0.0000 6.4842
Th Sn H
4 4 4
Direct
0.2067 0.2500 0.0935
0.2933 0.7500 0.5935
0.7067 0.2500 0.4065
0.7933 0.7500 0.9065
0.0156 0.2500 0.6714
0.4844 0.7500 0.1714
0.5156 0.2500 0.8286
0.9844 0.7500 0.3286
0.2168 0.7500 0.9260
0.2832 0.2500 0.4260
0.7168 0.7500 0.5740
0.7832 0.2500 0.0740
```

***

No. 14
Below is an optimized crystal structure of Th2SnH, with properties calculated at the PBE-GGA level.

Uncorrected energy   -66.46 eV for the cell shown
ΔE to the lowest computed polymorph   456 meV/atom
DOS at the Fermi energy   4.22 states/eV/f.u.

Geometry as POSCAR:
```
Th2SnH
1.0
3.4658 0.0000 0.0000
-1.7329 3.0014 0.0000
0.0000 0.0000 28.9607
Th Sn H
6 3 3
Direct
0.0000 0.0000 0.1113
0.0000 0.0000 0.8887
0.3333 0.6667 0.5553
0.3333 0.6667 0.7780
0.6667 0.3333 0.2220
0.6667 0.3333 0.4447
0.0000 0.0000 0.0000
0.3333 0.6667 0.6667
0.6667 0.3333 0.3333
0.0000 0.0000 0.5000
0.3333 0.6667 0.1667
0.6667 0.3333 0.8333
```

***

No. 15
Below is an optimized crystal structure of Th5Sn2H2, with properties calculated at the PBE-GGA level.

Uncorrected energy   -54.95 eV for the cell shown
DOS at the Fermi energy   9.06 states/eV/f.u.

Geometry as POSCAR:
```
Th5Sn2H2
1.0
6.0000 -2.1540 0.0000
6.0000 2.1540 0.0000
-1.1655 0.0000 8.6112
Th Sn H
5 2 2
Direct
0.0000 0.0000 0.0000
0.1265 0.1265 0.4587
0.2791 0.2791 0.8448
0.7209 0.7209 0.1552
0.8735 0.8735 0.5413
0.4364 0.4364 0.2630
0.5636 0.5636 0.7370
0.1502 0.1502 0.1975
0.8498 0.8498 0.8025
```

***

No. 16
Below is an optimized crystal structure of Th4Sn2H, with properties calculated at the PBE-GGA level.

Uncorrected energy   -87.87 eV for the cell shown
ΔE to the lowest computed polymorph   10 meV/atom
DOS at the Fermi energy   6.48 states/eV/f.u.

Geometry as POSCAR:
```
Th4Sn2H
1.0
6.0586 0.0000 0.0000
0.0000 6.6848 0.0000
-1.8954 0.0000 9.2802
Th Sn H
8 4 2
Direct
0.1811 0.2500 0.0665
0.2277 0.7500 0.3586
0.2863 0.5079 0.7236
0.2863 0.9921 0.7236
0.7137 0.0079 0.2764
0.7137 0.4921 0.2764
0.7723 0.2500 0.6414
0.8189 0.7500 0.9335
0.2408 0.2500 0.4140
0.3425 0.7500 0.0399
0.6575 0.2500 0.9601
0.7592 0.7500 0.5860
0.0969 0.2500 0.8153
0.9031 0.7500 0.1847
```

***

No. 17
Below is an optimized crystal structure of Th4Sn2H, with properties calculated at the PBE-GGA level.

Uncorrected energy   -88.01 eV for the cell shown
ΔE to the lowest computed polymorph   0 meV/atom
DOS at the Fermi energy   4.66 states/eV/f.u.

Geometry as POSCAR:
```
Th4Sn2H
1.0
4.6445 0.0000 0.0000
0.0000 4.6445 0.0000
0.0000 0.0000 17.6401
Th Sn H
8 4 2
Direct
0.0000 0.0000 0.1769
0.0000 0.0000 0.8231
0.0000 0.5000 0.0000
0.0000 0.5000 0.5000
0.5000 0.0000 0.0000
0.5000 0.0000 0.5000
0.5000 0.5000 0.3231
0.5000 0.5000 0.6769
0.0000 0.0000 0.3615
0.0000 0.0000 0.6385
0.5000 0.5000 0.1385
0.5000 0.5000 0.8615
0.0000 0.0000 0.0000
0.5000 0.5000 0.5000
```

***

No. 18
Below is an optimized crystal structure of Th2SnH3, with properties calculated at the PBE-GGA level.

Uncorrected energy   -63.76 eV for the cell shown
DOS at the Fermi energy   1.70 states/eV/f.u.

Geometry as POSCAR:
```
Th2SnH3
1.0
7.9547 -2.0519 0.0000
7.9547 2.0519 0.0000
-2.9005 0.0000 6.2855
Th Sn H
4 2 6
Direct
0.0170 0.0170 0.2649
0.2956 0.2956 0.3139
0.7044 0.7044 0.6861
0.9830 0.9830 0.7351
0.3692 0.3692 0.9325
0.6308 0.6308 0.0675
0.1147 0.1147 0.6538
0.1889 0.1889 0.4706
0.4416 0.4416 0.5698
0.5584 0.5584 0.4302
0.8111 0.8111 0.5294
0.8853 0.8853 0.3462
```

***

No. 19
Below is an optimized crystal structure of Th2SnH2, with properties calculated at the PBE-GGA level.

Uncorrected energy   -55.66 eV for the cell shown
DOS at the Fermi energy   3.78 states/eV/f.u.

Geometry as POSCAR:
```
Th2SnH2
1.0
3.2050 -5.2301 0.0000
3.2050 5.2301 0.0000
-3.1913 0.0000 5.8585
Th Sn H
4 2 4
Direct
0.0697 0.9303 0.7500
0.3178 0.6822 0.2500
0.6822 0.3178 0.7500
0.9303 0.0697 0.2500
0.3757 0.6243 0.7500
0.6243 0.3757 0.2500
0.0121 0.7633 0.0262
0.2367 0.9879 0.4738
0.7633 0.0121 0.5262
0.9879 0.2367 0.9738
```

***

No. 20
Below is an optimized crystal structure of Th3SnH3, with properties calculated at the PBE-GGA level.

Uncorrected energy   -78.03 eV for the cell shown
ΔE to the lowest computed polymorph   0 meV/atom
DOS at the Fermi energy   7.35 states/eV/f.u.

Geometry as POSCAR:
```
Th3SnH3
1.0
6.4949 0.0000 0.0000
0.0000 6.4949 0.0000
0.0000 0.0000 6.4949
Th Sn H
6 2 6
Direct
0.0000 0.2500 0.5000
0.0000 0.7500 0.5000
0.2500 0.5000 0.0000
0.5000 0.0000 0.2500
0.5000 0.0000 0.7500
0.7500 0.5000 0.0000
0.0000 0.0000 0.0000
0.5000 0.5000 0.5000
0.0000 0.5000 0.2500
0.0000 0.5000 0.7500
0.2500 0.0000 0.5000
0.5000 0.2500 0.0000
0.5000 0.7500 0.0000
0.7500 0.0000 0.5000
```

***

No. 21
Below is an optimized crystal structure of Th3Sn2H2, with properties calculated at the PBE-GGA level.

Uncorrected energy   -79.31 eV for the cell shown
DOS at the Fermi energy   4.28 states/eV/f.u.

Geometry as POSCAR:
```
Th3Sn2H2
1.0
6.7215 0.0000 0.0000
0.0000 8.4316 0.0000
-3.2829 0.0000 5.8002
Th Sn H
6 4 4
Direct
0.0000 0.0000 0.0000
0.0000 0.5000 0.5000
0.2855 0.1083 0.6456
0.2855 0.3917 0.1456
0.7145 0.6083 0.8544
0.7145 0.8917 0.3544
0.2771 0.7432 0.8991
0.2771 0.7568 0.3991
0.7229 0.2432 0.6009
0.7229 0.2568 0.1009
0.2529 0.1584 0.9634
0.2529 0.3416 0.4634
0.7471 0.6584 0.5366
0.7471 0.8416 0.0366
```

***

No. 22
Below is an optimized crystal structure of Th2SnH, with properties calculated at the PBE-GGA level.

Uncorrected energy   -95.92 eV for the cell shown
ΔE to the lowest computed polymorph   0 meV/atom
DOS at the Fermi energy   2.68 states/eV/f.u.

Geometry as POSCAR:
```
Th2SnH
1.0
6.7095 0.0000 0.0000
0.0000 10.2171 0.0000
0.0000 0.0000 5.4447
Th Sn H
8 4 4
Direct
0.0996 0.1960 0.0000
0.1547 0.5451 0.9993
0.3453 0.0451 0.4993
0.4004 0.6960 0.5000
0.5996 0.3040 0.0000
0.6547 0.9549 0.9993
0.8453 0.4549 0.4993
0.9004 0.8040 0.5000
0.1740 0.8709 0.9969
0.3260 0.3709 0.4969
0.6740 0.6291 0.9969
0.8260 0.1291 0.4969
0.0791 0.6180 0.3962
0.4209 0.1180 0.8962
0.5791 0.8820 0.3962
0.9209 0.3820 0.8962
```

***

No. 23
Below is an optimized crystal structure of Th3SnH3, with properties calculated at the PBE-GGA level.

Uncorrected energy   -76.91 eV for the cell shown
ΔE to the lowest computed polymorph   80 meV/atom
DOS at the Fermi energy   4.39 states/eV/f.u.

Geometry as POSCAR:
```
Th3SnH3
1.0
3.4772 2.0076 7.1207
-3.4772 2.0076 7.1207
0.0000 -4.0151 7.1207
Th Sn H
6 2 6
Direct
0.0972 0.4106 0.7776
0.2224 0.9028 0.5894
0.4106 0.7776 0.0972
0.5894 0.2224 0.9028
0.7776 0.0972 0.4106
0.9028 0.5894 0.2224
0.3329 0.3329 0.3329
0.6671 0.6671 0.6671
0.1274 0.7836 0.4736
0.2164 0.5264 0.8726
0.4736 0.1274 0.7836
0.5264 0.8726 0.2164
0.7836 0.4736 0.1274
0.8726 0.2164 0.5264
```

***

No. 24
Below is an optimized crystal structure of ThSnH, with properties calculated at the PBE-GGA level.

Uncorrected energy   -30.99 eV for the cell shown
ΔE to the lowest computed polymorph   275 meV/atom
DOS at the Fermi energy   1.74 states/eV/f.u.

Geometry as POSCAR:
```
ThSnH
1.0
3.3644 0.0000 0.0000
0.0000 3.3644 0.0000
0.0000 0.0000 11.5503
Th Sn H
2 2 2
Direct
0.0000 0.0000 0.0000
0.5000 0.5000 0.5000
0.0000 0.0000 0.2853
0.5000 0.5000 0.7853
0.0000 0.0000 0.5505
0.5000 0.5000 0.0505
```